DFT (PBE) results for a geometry-optimized AlRePd2 structure.

Summary:
volume: 14.3 A^3/atom
space group: P4/mmm (123)
mass density: 12.38 g cm⁻³
E_tot: -27.379 eV per cell

a = 2.875 Å, b = 2.875 Å, c = 6.914 Å
α = 90.00°, β = 90.00°, γ = 90.00°
Positions (direct):
Al (0.000, 0.000, 0.000)
Re (0.000, 0.000, 0.500)
Pd (0.500, 0.500, 0.231)
Pd (0.500, 0.500, 0.769)